The following is a DFT calculation (PBE) of an optimized crystal structure of Pr5Ho2Er2.

Calculated total energy: -0.343 Ry per atom
Formation energy from the elements: 0.02 eV/atom
Offset from the most stable computed form: 0 meV per atom
M_tot: 0.00 μB per atom

Geometry as CIF:
```
data_Pr5Ho2Er2
_cell_length_a 11.494
_cell_length_b 5.127
_cell_length_c 10.866
_cell_angle_alpha 90.00
_cell_angle_beta 108.39
_cell_angle_gamma 90.00
_symmetry_space_group_name_H-M 'C 1 2/m 1'
_symmetry_Int_Tables_number 12
_symmetry_space_group_name_Hall '-C 2y'
loop_
_atom_site_label
_atom_site_fract_x
_atom_site_fract_y
_atom_site_fract_z
_atom_site_occupancy
Pr1 0.000 0.000 0.000 1
Pr2 0.165 0.500 0.887 1
Pr3 0.166 0.500 0.555 1
Ho1 0.001 0.000 0.334 1
Er1 0.168 0.500 0.225 1
```